The following is a GGA-PBE calculation of an optimized crystal structure of Te2SeBr, from Alexandria via LeMat-Bulk.

The relative energy among the computed polymorphs comes out at 0.475 eV/atom. For the uncorrected formation energy, the calculation gives 0.41 eV/atom. As for the uncorrected energy: -9.786 eV/cell. The crystal system is cubic. As for the density of states at the Fermi level: 3.3 states/eV per cell.

Cell: 5.251 5.251 5.251 Å, 60.00 60.00 60.00°
Fractional positions:
Te: 0.250 0.250 0.250
Te: 0.750 0.750 0.750
Se: 0.000 0.000 0.000
Br: 0.500 0.500 0.500